1.
# PmHoSi3

An optimized crystal structure of PmHoSi3 (PBE, Alexandria).

The structure in extended XYZ format:
```
10
Lattice="2.107 -12.306 0.000 2.107 12.306 0.000 0.000 0.000 3.959" Properties=species:S:1:pos:R:3 pbc="T T T"
Pm 2.107 10.571 2.969
Pm 2.107 -10.571 0.990
Ho 2.107 7.309 0.990
Ho 2.107 -7.309 2.969
Si 2.107 4.402 0.990
Si 2.107 2.968 2.969
Si 2.107 0.621 2.969
Si 2.107 -0.621 0.990
Si 2.107 -2.968 0.990
Si 2.107 -4.402 2.969
```

Values from the calculation:
- formation energy without anion corrections (eV/atom) = -0.70
- SG = Cmcm, No. 63
- total energy (eV/atom) = -5.823
- density (g/cm3) = 6.38

2.
# Pm3Ho3Si4

An optimized crystal structure of Pm3Ho3Si4 (PBE, Alexandria).

The structure in extended XYZ format:
```
10
Lattice="4.313 0.000 0.000 0.000 5.356 5.307 0.000 -5.356 5.307" Properties=species:S:1:pos:R:3 pbc="T T T"
Pm 0.000 0.000 0.000
Pm 0.000 -1.900 7.150
Pm 0.000 1.900 7.150
Ho 0.000 0.000 3.737
Ho 2.156 -2.690 4.513
Ho 2.156 2.690 4.513
Si 2.156 -1.224 1.903
Si 2.156 1.224 1.903
Si 2.156 0.000 5.891
Si 2.156 0.000 8.362
```

Values from the calculation:
- formation energy without anion corrections (eV/atom) = -0.70
- SG = Amm2, No. 38
- total energy (eV/atom) = -5.668
- density (g/cm3) = 7.06

3.
# Pm2HoSi

An optimized crystal structure of Pm2HoSi (PBE, Alexandria).

The structure in extended XYZ format:
```
4
Lattice="1.839 1.062 10.869 -1.839 1.062 10.869 0.000 -2.123 10.869" Properties=species:S:1:pos:R:3 pbc="T T T"
Pm 0.000 0.000 3.475
Pm 0.000 0.000 29.131
Ho 0.000 0.000 0.000
Si 0.000 0.000 16.303
```

Values from the calculation:
- formation energy without anion corrections (eV/atom) = 0.06
- SG = R-3m, No. 166
- total energy (eV/atom) = -4.811
- density (g/cm3) = 6.30

4.
# PmHoSi

An optimized crystal structure of PmHoSi (PBE, Alexandria).

The structure in extended XYZ format:
```
6
Lattice="5.738 -2.118 0.000 5.738 2.118 0.000 -4.891 0.000 6.557" Properties=species:S:1:pos:R:3 pbc="T T T"
Pm -0.775 0.000 2.359
Pm 7.361 0.000 4.199
Ho -0.813 0.000 6.054
Ho 7.399 0.000 0.503
Si 2.686 0.000 2.222
Si 3.900 0.000 4.336
```

Values from the calculation:
- formation energy without anion corrections (eV/atom) = -0.51
- SG = C2/m, No. 12
- total energy (eV/atom) = -5.431
- density (g/cm3) = 7.04

5.
# Pm12HoSi6

An optimized crystal structure of Pm12HoSi6 (PBE, Alexandria).

The structure in extended XYZ format:
```
19
Lattice="6.778 3.913 3.596 -6.778 3.913 3.596 0.000 -7.826 3.596" Properties=species:S:1:pos:R:3 pbc="T T T"
Pm -2.559 -3.395 3.596
Pm -4.219 -0.518 3.596
Pm 0.000 -2.068 1.599
Pm -1.791 1.034 1.599
Pm 1.791 1.034 1.599
Pm 2.559 -3.395 3.596
Pm -1.661 3.913 3.596
Pm 4.219 -0.518 3.596
Pm 1.661 3.913 3.596
Pm -1.791 -1.034 9.188
Pm 1.791 -1.034 9.188
Pm 0.000 2.068 9.188
Ho 0.000 0.000 5.393
Si -3.761 -2.171 6.119
Si 0.000 -4.342 4.668
Si -3.761 2.171 4.668
Si 3.761 -2.171 6.119
Si 0.000 4.342 6.119
Si 3.761 2.171 4.668
```

Values from the calculation:
- formation energy without anion corrections (eV/atom) = -0.29
- SG = R-3m, No. 166
- total energy (eV/atom) = -5.245
- density (g/cm3) = 6.02

6.
# Pm2Ho2Si

An optimized crystal structure of Pm2Ho2Si (PBE, Alexandria).

The structure in extended XYZ format:
```
5
Lattice="-2.081 2.081 8.932 2.081 -2.081 8.932 2.081 2.081 -8.932" Properties=species:S:1:pos:R:3 pbc="T T T"
Pm 0.000 0.000 1.474
Pm 0.000 0.000 16.389
Ho 2.081 0.000 4.466
Ho 0.000 2.081 4.466
Si 0.000 0.000 8.932
```

Values from the calculation:
- formation energy without anion corrections (eV/atom) = 0.32
- SG = I4/mmm, No. 139
- total energy (eV/atom) = -4.492
- density (g/cm3) = 6.96

7.
# PmHoSi2

An optimized crystal structure of PmHoSi2 (PBE, Alexandria).

The structure in extended XYZ format:
```
4
Lattice="3.871 0.000 0.000 0.000 2.173 5.342 0.000 -2.173 5.342" Properties=species:S:1:pos:R:3 pbc="T T T"
Pm 0.000 0.000 0.000
Ho 1.935 0.000 7.691
Si 0.000 0.000 3.024
Si 1.935 0.000 4.620
```

Values from the calculation:
- formation energy without anion corrections (eV/atom) = -0.79
- SG = Amm2, No. 38
- total energy (eV/atom) = -5.838
- density (g/cm3) = 6.76

8.
# Pm2HoSi

An optimized crystal structure of Pm2HoSi (PBE, Alexandria).

The structure in extended XYZ format:
```
4
Lattice="4.042 0.000 0.000 0.000 4.042 0.000 0.000 0.000 6.660" Properties=species:S:1:pos:R:3 pbc="T T T"
Pm 0.000 0.000 1.454
Pm 0.000 0.000 5.207
Ho 2.021 2.021 3.330
Si 2.021 2.021 0.000
```

Values from the calculation:
- formation energy without anion corrections (eV/atom) = -0.23
- SG = P4/mmm, No. 123
- total energy (eV/atom) = -5.104
- density (g/cm3) = 7.37

9.
# Pm3HoSi2

An optimized crystal structure of Pm3HoSi2 (PBE, Alexandria).

The structure in extended XYZ format:
```
12
Lattice="9.985 -2.113 0.000 9.985 2.113 0.000 -3.386 0.000 7.541" Properties=species:S:1:pos:R:3 pbc="T T T"
Pm -0.555 0.000 2.333
Pm 4.494 0.000 4.374
Pm 8.042 0.000 0.014
Pm 8.542 0.000 7.527
Pm 12.089 0.000 3.167
Pm 17.139 0.000 5.207
Ho 0.992 0.000 5.977
Ho 15.592 0.000 1.564
Si 3.568 0.000 1.423
Si 7.314 0.000 2.982
Si 9.270 0.000 4.558
Si 13.016 0.000 6.117
```

Values from the calculation:
- formation energy without anion corrections (eV/atom) = -0.51
- SG = C2/m, No. 12
- total energy (eV/atom) = -5.457
- density (g/cm3) = 6.85

10.
# PmHo3Si2

An optimized crystal structure of PmHo3Si2 (PBE, Alexandria).

The structure in extended XYZ format:
```
12
Lattice="8.502 -2.148 0.000 8.502 2.148 0.000 -3.570 0.000 8.433" Properties=species:S:1:pos:R:3 pbc="T T T"
Pm 1.478 0.000 1.138
Pm 11.957 0.000 7.295
Ho -1.678 0.000 5.876
Ho 4.845 0.000 0.974
Ho 4.064 0.000 4.376
Ho 9.370 0.000 4.057
Ho 8.590 0.000 7.459
Ho 15.113 0.000 2.557
Si 1.473 0.000 6.013
Si 7.853 0.000 1.046
Si 5.582 0.000 7.387
Si 11.961 0.000 2.420
```

Values from the calculation:
- formation energy without anion corrections (eV/atom) = -0.50
- SG = C2/m, No. 12
- total energy (eV/atom) = -5.392
- density (g/cm3) = 7.50

11.
# Pm5HoSi3

An optimized crystal structure of Pm5HoSi3 (PBE, Alexandria).

The structure in extended XYZ format:
```
18
Lattice="6.080 -4.703 0.000 6.080 4.703 0.000 -3.357 0.000 10.020" Properties=species:S:1:pos:R:3 pbc="T T T"
Pm -0.822 0.000 3.299
Pm 2.543 1.804 3.738
Pm 6.080 2.876 0.000
Pm -0.002 0.000 9.142
Pm 6.259 1.804 6.282
Pm 2.543 -1.804 3.738
Pm 8.805 0.000 0.878
Pm 6.080 -2.876 0.000
Pm 6.259 -1.804 6.282
Pm 9.625 0.000 6.721
Ho 3.086 0.000 7.323
Ho 5.716 0.000 2.697
Si 1.688 0.000 1.595
Si 0.617 0.000 5.846
Si 6.080 0.000 0.000
Si 4.401 0.000 5.010
Si 8.185 0.000 4.174
Si 7.114 0.000 8.425
```

Values from the calculation:
- formation energy without anion corrections (eV/atom) = -0.28
- SG = C2/m, No. 12
- total energy (eV/atom) = -5.233
- density (g/cm3) = 5.65

12.
# Pm2HoSi

An optimized crystal structure of Pm2HoSi (PBE, Alexandria).

The structure in extended XYZ format:
```
4
Lattice="4.687 0.000 0.000 0.000 4.687 0.000 0.000 0.000 4.742" Properties=species:S:1:pos:R:3 pbc="T T T"
Pm 0.000 2.343 0.000
Pm 2.343 0.000 0.000
Ho 0.000 0.000 2.371
Si 2.343 2.343 2.371
```

Values from the calculation:
- formation energy without anion corrections (eV/atom) = -0.25
- SG = P4/mmm, No. 123
- total energy (eV/atom) = -5.126
- density (g/cm3) = 7.70

13.
# PmHo2Si6

An optimized crystal structure of PmHo2Si6 (PBE, Alexandria).

The structure in extended XYZ format:
```
9
Lattice="7.109 0.000 0.000 -3.554 6.156 0.000 0.000 0.000 3.976" Properties=species:S:1:pos:R:3 pbc="T T T"
Pm 0.000 0.000 0.000
Ho 0.000 4.104 0.000
Ho 3.554 2.052 0.000
Si -1.193 2.066 1.988
Si -2.361 4.090 1.988
Si 2.386 0.000 1.988
Si 1.193 2.066 1.988
Si 4.723 0.000 1.988
Si 2.361 4.090 1.988
```

Values from the calculation:
- formation energy without anion corrections (eV/atom) = -0.53
- SG = P6/mmm, No. 191
- total energy (eV/atom) = -5.692
- density (g/cm3) = 6.14

14.
# PmHoSi2

An optimized crystal structure of PmHoSi2 (PBE, Alexandria).

The structure in extended XYZ format:
```
4
Lattice="3.317 0.000 0.000 0.000 3.317 0.000 0.000 0.000 8.064" Properties=species:S:1:pos:R:3 pbc="T T T"
Pm 0.000 0.000 0.000
Ho 0.000 0.000 4.032
Si 1.658 1.658 2.078
Si 1.658 1.658 5.986
```

Values from the calculation:
- formation energy without anion corrections (eV/atom) = -0.45
- SG = P4/mmm, No. 123
- total energy (eV/atom) = -5.498
- density (g/cm3) = 6.85

15.
# PmHo2Si2

An optimized crystal structure of PmHo2Si2 (PBE, Alexandria).

The structure in extended XYZ format:
```
5
Lattice="-2.201 3.193 4.263 2.201 -3.193 4.263 2.201 3.193 -4.263" Properties=species:S:1:pos:R:3 pbc="T T T"
Pm 0.000 0.000 0.000
Ho 2.201 0.000 2.573
Ho 0.000 3.193 1.690
Si 2.201 1.963 0.000
Si 0.000 1.229 4.263
```

Values from the calculation:
- formation energy without anion corrections (eV/atom) = -0.58
- SG = Immm, No. 71
- total energy (eV/atom) = -5.535
- density (g/cm3) = 7.36

16.
# Pm2HoSi2

An optimized crystal structure of Pm2HoSi2 (PBE, Alexandria).

The structure in extended XYZ format:
```
10
Lattice="7.572 0.000 0.000 0.000 7.572 0.000 0.000 0.000 4.353" Properties=species:S:1:pos:R:3 pbc="T T T"
Pm 1.339 2.447 0.000
Pm 2.447 6.232 0.000
Pm 5.125 1.339 0.000
Pm 6.232 5.125 0.000
Ho 0.000 0.000 2.177
Ho 3.786 3.786 2.177
Si 0.869 4.655 2.177
Si 2.917 0.869 2.177
Si 4.655 6.702 2.177
Si 6.702 2.917 2.177
```

Values from the calculation:
- formation energy without anion corrections (eV/atom) = -0.70
- SG = P4/mbm, No. 127
- total energy (eV/atom) = -5.685
- density (g/cm3) = 6.80

17.
# Pm4Ho3Si4

An optimized crystal structure of Pm4Ho3Si4 (PBE, Alexandria).

The structure in extended XYZ format:
```
11
Lattice="-1.780 4.430 8.788 1.780 -4.430 8.788 1.780 4.430 -8.788" Properties=species:S:1:pos:R:3 pbc="T T T"
Pm 1.780 -2.877 5.828
Pm 0.000 1.554 2.961
Pm 1.780 2.877 5.828
Pm 0.000 7.307 2.961
Ho 1.780 0.000 0.000
Ho 0.000 0.000 7.183
Ho 0.000 0.000 10.393
Si 0.000 2.443 0.000
Si 1.780 0.000 4.900
Si 0.000 4.430 3.888
Si 0.000 6.418 0.000
```

Values from the calculation:
- formation energy without anion corrections (eV/atom) = -0.49
- SG = Immm, No. 71
- total energy (eV/atom) = -5.442
- density (g/cm3) = 7.11

18.
# Pm8HoSi6

An optimized crystal structure of Pm8HoSi6 (PBE, Alexandria).

The structure in extended XYZ format:
```
15
Lattice="4.369 2.523 6.201 -4.369 2.523 6.201 0.000 -5.045 6.201" Properties=species:S:1:pos:R:3 pbc="T T T"
Pm -1.469 -2.534 7.366
Pm 0.000 0.000 3.091
Pm -2.929 0.005 11.237
Pm -1.460 2.539 7.366
Pm 1.460 -2.539 11.237
Pm 2.929 -0.005 7.366
Pm 0.000 0.000 15.512
Pm 1.469 2.534 11.237
Ho 0.000 0.000 9.302
Si -2.872 0.001 8.055
Si -1.436 -2.486 10.548
Si 1.435 -2.487 8.055
Si -1.435 2.487 10.548
Si 1.436 2.486 8.055
Si 2.872 -0.001 10.548
```

Values from the calculation:
- formation energy without anion corrections (eV/atom) = -0.52
- SG = R-3, No. 148
- total energy (eV/atom) = -5.525
- density (g/cm3) = 6.05

19.
# Pm5Ho2Si4

An optimized crystal structure of Pm5Ho2Si4 (PBE, Alexandria).

The structure in extended XYZ format:
```
11
Lattice="11.218 -1.852 0.000 11.218 1.852 0.000 -1.205 0.000 7.358" Properties=species:S:1:pos:R:3 pbc="T T T"
Pm 0.000 0.000 0.000
Pm 7.773 0.000 0.203
Pm 8.023 0.000 4.482
Pm 13.208 0.000 2.876
Pm 13.458 0.000 7.155
Ho 4.164 0.000 4.891
Ho 17.067 0.000 2.467
Si 1.226 0.000 5.091
Si 10.295 0.000 2.391
Si 10.936 0.000 4.967
Si 20.005 0.000 2.267
```

Values from the calculation:
- formation energy without anion corrections (eV/atom) = -0.25
- SG = C2/m, No. 12
- total energy (eV/atom) = -5.215
- density (g/cm3) = 6.34

20.
# PmHo3Si4

An optimized crystal structure of PmHo3Si4 (PBE, Alexandria).

The structure in extended XYZ format:
```
8
Lattice="-1.948 3.167 7.853 1.948 -3.167 7.853 1.948 3.167 -7.853" Properties=species:S:1:pos:R:3 pbc="T T T"
Pm 0.000 0.000 0.000
Ho 1.948 0.000 3.071
Ho 0.000 0.000 7.853
Ho 0.000 3.167 4.783
Si 1.948 -1.164 5.763
Si 0.000 2.003 2.091
Si 1.948 1.164 5.763
Si 0.000 4.331 2.091
```

Values from the calculation:
- formation energy without anion corrections (eV/atom) = -0.52
- SG = Immm, No. 71
- total energy (eV/atom) = -5.539
- density (g/cm3) = 6.44

Going through the records in order, we get Fermi-level density of states values of 0.33 0.82 1.47 1.12 1.32 0.97 0.73 1.01 0.90 0.88 1.25 0.98 0.57 0.83 0.79 0.84 0.73 0.46 1.06 0.81 states/eV per atom.